1.
# RbNb3Cd

Crystalline RbNb3Cd at its relaxed geometry (PBE, Alexandria).

Output
- calculated total energy (eV/atom) = -3.872

Structure (CIF):
```
data_RbNb3Cd
_chemical_formula_sum 'Rb1 Nb3 Cd1'
_symmetry_space_group_name_H-M 'P m -3 m'
_symmetry_Int_Tables_number 221
_symmetry_space_group_name_Hall '-P 4 2 3'
_cell_length_a 4.820
_cell_length_b 4.820
_cell_length_c 4.820
_cell_angle_alpha 90.00
_cell_angle_beta 90.00
_cell_angle_gamma 90.00
loop_
_atom_site_label
_atom_site_type_symbol
_atom_site_fract_x
_atom_site_fract_y
_atom_site_fract_z
Rb1 Rb 0.000 0.000 0.000
Nb1 Nb 0.000 0.000 0.500
Cd1 Cd 0.500 0.500 0.500
```



2.
# RbNbCd3

Crystalline RbNbCd3 at its relaxed geometry (PBE, Alexandria).

Output
- calculated total energy (eV/atom) = -2.199

Structure (CIF):
```
data_RbNbCd3
_chemical_formula_sum 'Rb1 Nb1 Cd3'
_symmetry_space_group_name_H-M 'P m -3 m'
_symmetry_Int_Tables_number 221
_symmetry_space_group_name_Hall '-P 4 2 3'
_cell_length_a 5.672
_cell_length_b 5.672
_cell_length_c 5.672
_cell_angle_alpha 90.00
_cell_angle_beta 90.00
_cell_angle_gamma 90.00
loop_
_atom_site_label
_atom_site_type_symbol
_atom_site_fract_x
_atom_site_fract_y
_atom_site_fract_z
Rb1 Rb 0.000 0.000 0.000
Nb1 Nb 0.500 0.500 0.500
Cd1 Cd 0.000 0.500 0.500
```



3.
# Rb2NbCdS4

Crystalline Rb2NbCdS4 at its relaxed geometry (PBE, Alexandria).

Output
- calculated total energy (eV/atom) = -4.619

Structure (CIF):
```
data_Rb2NbCdS4
_chemical_formula_sum 'Rb4 Nb2 Cd2 S8'
_symmetry_space_group_name_H-M 'I -4'
_symmetry_Int_Tables_number 82
_symmetry_space_group_name_Hall 'I -4'
_cell_length_a 7.572
_cell_length_b 7.572
_cell_length_c 8.891
_cell_angle_alpha 90.00
_cell_angle_beta 90.00
_cell_angle_gamma 90.00
loop_
_atom_site_label
_atom_site_type_symbol
_atom_site_fract_x
_atom_site_fract_y
_atom_site_fract_z
Rb1 Rb 0.000 0.000 0.000
Rb2 Rb 0.000 0.500 0.250
Nb1 Nb 0.000 0.000 0.500
Cd1 Cd 0.000 0.500 0.750
S1 S 0.148 0.788 0.641
```



4.
# Rb2NbCdSe4

Crystalline Rb2NbCdSe4 at its relaxed geometry (PBE, Alexandria).

Output
- calculated total energy (eV/atom) = -4.209

Structure (CIF):
```
data_Rb2NbCdSe4
_chemical_formula_sum 'Rb16 Nb8 Cd8 Se32'
_symmetry_space_group_name_H-M 'F d d d'
_symmetry_Int_Tables_number 70
_cell_length_a 6.790
_cell_length_b 14.054
_cell_length_c 24.724
_cell_angle_alpha 90.00
_cell_angle_beta 90.00
_cell_angle_gamma 90.00
loop_
_symmetry_equiv_pos_as_xyz
'x,y,z'
'-x,-y,-z'
'-x+1/4,-y+1/4,z'
'x+1/4,y+1/4,-z'
'x,-y+1/4,-z+1/4'
'-x,y+1/4,z+1/4'
'-x+1/4,y,-z+1/4'
'x+1/4,-y,z+1/4'
'x,y+1/2,z+1/2'
'-x,-y+1/2,-z+1/2'
'-x+1/4,-y+3/4,z+1/2'
'x+1/4,y+3/4,-z+1/2'
'x,-y+3/4,-z+3/4'
'-x,y+3/4,z+3/4'
'-x+1/4,y+1/2,-z+3/4'
'x+1/4,-y+1/2,z+3/4'
'x+1/2,y,z+1/2'
'-x+1/2,-y,-z+1/2'
'-x+3/4,-y+1/4,z+1/2'
'x+3/4,y+1/4,-z+1/2'
'x+1/2,-y+1/4,-z+3/4'
'-x+1/2,y+1/4,z+3/4'
'-x+3/4,y,-z+3/4'
'x+3/4,-y,z+3/4'
'x+1/2,y+1/2,z'
'-x+1/2,-y+1/2,-z'
'-x+3/4,-y+3/4,z'
'x+3/4,y+3/4,-z'
'x+1/2,-y+3/4,-z+1/4'
'-x+1/2,y+3/4,z+1/4'
'-x+3/4,y+1/2,-z+1/4'
'x+3/4,-y+1/2,z+1/4'
loop_
_atom_site_label
_atom_site_type_symbol
_atom_site_fract_x
_atom_site_fract_y
_atom_site_fract_z
Rb1 Rb 0.125 0.125 0.305
Nb1 Nb 0.125 0.125 0.625
Cd1 Cd 0.125 0.125 0.125
Se1 Se 0.098 0.276 0.820
```



5.
# RbYNbCd2

Crystalline RbYNbCd2 at its relaxed geometry (PBE, Alexandria).

Output
- calculated total energy (eV/atom) = -2.021

Structure (CIF):
```
data_RbYNbCd2
_chemical_formula_sum 'Rb1 Y1 Nb1 Cd2'
_symmetry_space_group_name_H-M 'P 4/m m m'
_symmetry_Int_Tables_number 123
_symmetry_space_group_name_Hall '-P 4 2'
_cell_length_a 5.550
_cell_length_b 5.550
_cell_length_c 5.646
_cell_angle_alpha 90.00
_cell_angle_beta 90.00
_cell_angle_gamma 90.00
loop_
_atom_site_label
_atom_site_type_symbol
_atom_site_fract_x
_atom_site_fract_y
_atom_site_fract_z
Rb1 Rb 0.000 0.000 0.000
Y1 Y 0.000 0.000 0.500
Nb1 Nb 0.500 0.500 0.500
Cd1 Cd 0.000 0.500 0.000
```



6.
# NbCdRe3

Crystalline NbCdRe3 at its relaxed geometry (PBE, Alexandria).

Output
- calculated total energy (eV/atom) = -7.432

Structure (CIF):
```
data_NbCdRe3
_chemical_formula_sum 'Nb1 Cd1 Re3'
_symmetry_space_group_name_H-M 'P m -3 m'
_symmetry_Int_Tables_number 221
_symmetry_space_group_name_Hall '-P 4 2 3'
_cell_length_a 4.799
_cell_length_b 4.799
_cell_length_c 4.799
_cell_angle_alpha 90.00
_cell_angle_beta 90.00
_cell_angle_gamma 90.00
loop_
_atom_site_label
_atom_site_type_symbol
_atom_site_fract_x
_atom_site_fract_y
_atom_site_fract_z
Nb1 Nb 0.000 0.000 0.000
Cd1 Cd 0.500 0.500 0.500
Re1 Re 0.000 0.000 0.500
```



7.
# NbCdRe3

Crystalline NbCdRe3 at its relaxed geometry (PBE, Alexandria).

Output
- calculated total energy (eV/atom) = -6.738

Structure (CIF):
```
data_NbCdRe3
_chemical_formula_sum 'Nb1 Cd1 Re3'
_symmetry_space_group_name_H-M 'P m -3 m'
_symmetry_Int_Tables_number 221
_symmetry_space_group_name_Hall '-P 4 2 3'
_cell_length_a 4.725
_cell_length_b 4.725
_cell_length_c 4.725
_cell_angle_alpha 90.00
_cell_angle_beta 90.00
_cell_angle_gamma 90.00
loop_
_atom_site_label
_atom_site_type_symbol
_atom_site_fract_x
_atom_site_fract_y
_atom_site_fract_z
Nb1 Nb 0.000 0.000 0.000
Cd1 Cd 0.500 0.500 0.500
Re1 Re 0.000 0.500 0.500
```



8.
# Nb2CdReSi

Crystalline Nb2CdReSi at its relaxed geometry (PBE, Alexandria).

Output
- calculated total energy (eV/atom) = -5.550

Structure (CIF):
```
data_Nb2CdReSi
_chemical_formula_sum 'Nb2 Cd1 Re1 Si1'
_symmetry_space_group_name_H-M 'P 4/m m m'
_symmetry_Int_Tables_number 123
_symmetry_space_group_name_Hall '-P 4 2'
_cell_length_a 5.020
_cell_length_b 5.020
_cell_length_c 4.332
_cell_angle_alpha 90.00
_cell_angle_beta 90.00
_cell_angle_gamma 90.00
loop_
_atom_site_label
_atom_site_type_symbol
_atom_site_fract_x
_atom_site_fract_y
_atom_site_fract_z
Nb1 Nb 0.000 0.500 0.000
Cd1 Cd 0.000 0.000 0.000
Re1 Re 0.500 0.500 0.500
Si1 Si 0.000 0.000 0.500
```



9.
# NbCdRe2Si

Crystalline NbCdRe2Si at its relaxed geometry (PBE, Alexandria).

Output
- calculated total energy (eV/atom) = -6.080

Structure (CIF):
```
data_NbCdRe2Si
_chemical_formula_sum 'Nb1 Cd1 Re2 Si1'
_symmetry_space_group_name_H-M 'P 4/m m m'
_symmetry_Int_Tables_number 123
_symmetry_space_group_name_Hall '-P 4 2'
_cell_length_a 4.743
_cell_length_b 4.743
_cell_length_c 5.314
_cell_angle_alpha 90.00
_cell_angle_beta 90.00
_cell_angle_gamma 90.00
loop_
_atom_site_label
_atom_site_type_symbol
_atom_site_fract_x
_atom_site_fract_y
_atom_site_fract_z
Nb1 Nb 0.000 0.000 0.000
Cd1 Cd 0.000 0.000 0.500
Re1 Re 0.000 0.500 0.000
Si1 Si 0.500 0.500 0.500
```



10.
# NbTl2CdRe

Crystalline NbTl2CdRe at its relaxed geometry (PBE, Alexandria).

Output
- calculated total energy (eV/atom) = -4.146

Structure (CIF):
```
data_NbTl2CdRe
_chemical_formula_sum 'Nb1 Tl2 Cd1 Re1'
_symmetry_space_group_name_H-M 'P 4/m m m'
_symmetry_Int_Tables_number 123
_symmetry_space_group_name_Hall '-P 4 2'
_cell_length_a 5.241
_cell_length_b 5.241
_cell_length_c 5.240
_cell_angle_alpha 90.00
_cell_angle_beta 90.00
_cell_angle_gamma 90.00
loop_
_atom_site_label
_atom_site_type_symbol
_atom_site_fract_x
_atom_site_fract_y
_atom_site_fract_z
Nb1 Nb 0.000 0.000 0.000
Tl1 Tl 0.000 0.500 0.500
Cd1 Cd 0.500 0.500 0.000
Re1 Re 0.500 0.500 0.500
```



11.
# Nb3CdRh

Crystalline Nb3CdRh at its relaxed geometry (PBE, Alexandria).

Output
- calculated total energy (eV/atom) = -6.791

Structure (CIF):
```
data_Nb3CdRh
_chemical_formula_sum 'Nb3 Cd1 Rh1'
_symmetry_space_group_name_H-M 'P m -3 m'
_symmetry_Int_Tables_number 221
_symmetry_space_group_name_Hall '-P 4 2 3'
_cell_length_a 4.843
_cell_length_b 4.843
_cell_length_c 4.843
_cell_angle_alpha 90.00
_cell_angle_beta 90.00
_cell_angle_gamma 90.00
loop_
_atom_site_label
_atom_site_type_symbol
_atom_site_fract_x
_atom_site_fract_y
_atom_site_fract_z
Nb1 Nb 0.000 0.000 0.500
Cd1 Cd 0.500 0.500 0.500
Rh1 Rh 0.000 0.000 0.000
```



12.
# Nb2CdRh

Crystalline Nb2CdRh at its relaxed geometry (PBE, Alexandria).

Output
- calculated total energy (eV/atom) = -6.870

Structure (CIF):
```
data_Nb2CdRh
_chemical_formula_sum 'Nb6 Cd3 Rh3'
_symmetry_space_group_name_H-M 'R -3 m'
_symmetry_Int_Tables_number 166
_symmetry_space_group_name_Hall '-R 3 2"'
_cell_length_a 2.8612
_cell_length_b 2.8612
_cell_length_c 31.7161
_cell_angle_alpha 90.00
_cell_angle_beta 90.00
_cell_angle_gamma 120.00
loop_
_atom_site_label
_atom_site_type_symbol
_atom_site_fract_x
_atom_site_fract_y
_atom_site_fract_z
Nb1 Nb 0.0000 0.0000 0.0953
Cd1 Cd 0.0000 0.0000 0.0000
Rh1 Rh 0.0000 0.0000 0.5000
```



13.
# Nb2CdRh

Crystalline Nb2CdRh at its relaxed geometry (PBE, Alexandria).

Output
- calculated total energy (eV/atom) = -6.804

Structure (CIF):
```
data_Nb2CdRh
_chemical_formula_sum 'Nb8 Cd4 Rh4'
_symmetry_space_group_name_H-M 'I -4 2 d'
_symmetry_Int_Tables_number 122
_symmetry_space_group_name_Hall 'I -4 2bw'
_cell_length_a 7.553
_cell_length_b 7.553
_cell_length_c 5.411
_cell_angle_alpha 90.00
_cell_angle_beta 90.00
_cell_angle_gamma 90.00
loop_
_atom_site_label
_atom_site_type_symbol
_atom_site_fract_x
_atom_site_fract_y
_atom_site_fract_z
Nb1 Nb 0.208 0.250 0.125
Cd1 Cd 0.000 0.000 0.500
Rh1 Rh 0.000 0.000 0.000
```



no.,magnetic moment (μB/cell)
1,0.00
2,3.51
3,0.00
4,0.54
5,3.05
6,2.73
7,0.00
8,0.76
9,1.29
10,2.61
11,0.00
12,0.00
13,0.00